{"formula": "TiCoHgW2", "functional": "GGA-PBEsol", "state": "relaxed", "lattice_angstrom": [[-3.367, 2.755, 0.627], [0.404, -0.508, 4.403], [2.833, 3.431, 0.136]], "species": ["Co", "Hg", "W", "W", "Ti"], "frac_coords": [[0.000, 0.000, 0.000], [0.500, 0.500, 0.500], [0.000, 0.000, 0.500], [0.000, 0.500, 0.000], [0.500, 0.000, 0.000]], "e_tot_ev_per_atom": -7.9030, "volume_a3_per_cell": 87, "formation_energy_ev_per_atom": 0.95}

{"formula": "Ta2TcIr", "functional": "GGA-PBEsol", "state": "relaxed", "lattice_angstrom": [[3.201, 0.000, 0.000], [0.000, 3.201, 0.000], [0.000, 0.000, 6.224]], "species": ["Ir", "Ta", "Ta", "Tc"], "frac_coords": [[0.500, 0.500, 0.764], [0.000, 0.000, 0.985], [0.500, 0.500, 0.266], [0.000, 0.000, 0.485]], "e_tot_ev_per_atom": -11.7582, "volume_a3_per_cell": 64, "formation_energy_ev_per_atom": -0.21}

{"formula": "Nb3CdH", "functional": "GGA-PBEsol", "state": "relaxed", "lattice_angstrom": [[-4.061, -2.741, 0.970], [0.667, -2.500, -4.272], [2.830, -3.344, 2.398]], "species": ["H", "Nb", "Nb", "Nb", "Cd"], "frac_coords": [[0.500, 0.500, 0.500], [0.000, 0.500, 0.000], [0.000, 0.000, 0.500], [0.500, 0.000, 0.000], [0.000, 0.000, 0.000]], "e_tot_ev_per_atom": -4.6179, "volume_a3_per_cell": 125, "relative_energy_ev_per_atom": 2.776}

{"formula": "MgTaS3", "functional": "GGA-PBEsol", "state": "relaxed", "lattice_angstrom": [[4.749, 0.000, 0.000], [0.000, 4.749, 0.000], [0.000, 0.000, 4.749]], "species": ["S", "S", "S", "Mg", "Ta"], "frac_coords": [[0.000, 0.500, 0.000], [0.000, 0.000, 0.500], [0.500, 0.000, 0.000], [0.500, 0.500, 0.500], [0.000, 0.000, 0.000]], "e_tot_ev_per_atom": -6.0684, "volume_a3_per_cell": 107}

{"formula": "TaTl2As", "functional": "GGA-PBEsol", "state": "relaxed", "lattice_angstrom": [[-0.649, -2.940, 0.464], [2.935, -0.711, -0.402], [1.482, 1.080, 8.914]], "species": ["Tl", "Tl", "As", "Ta"], "frac_coords": [[0.000, 0.000, 0.743], [0.000, 0.000, 0.257], [0.500, 0.500, 0.000], [0.500, 0.500, 0.500]], "e_tot_ev_per_atom": -5.1104, "volume_a3_per_cell": 84, "formation_energy_ev_per_atom": 0.62, "relative_energy_ev_per_atom": 0.065}

{"formula": "ZnCo2Si", "functional": "GGA-PBEsol", "state": "relaxed", "lattice_angstrom": [[2.573, 0.000, 0.000], [0.000, 2.573, 0.000], [0.000, 0.000, 7.132]], "species": ["Co", "Co", "Si", "Zn"], "frac_coords": [[0.000, 0.000, 0.023], [0.500, 0.500, 0.246], [0.000, 0.000, 0.457], [0.500, 0.500, 0.774]], "e_tot_ev_per_atom": -5.7380, "volume_a3_per_cell": 47}